{"formula": "KUGa", "functional": "GGA-PBE", "state": "relaxed", "lattice": [[-2.273, 2.743, 3.768], [-1.032, 5.031, -0.717], [-4.906, 1.588, -0.547]], "species": ["U", "Ga", "K"], "fractional_positions": [[0.750, 0.750, 0.750], [0.000, 0.000, 0.000], [0.250, 0.250, 0.250]], "e_above_lowest_polymorph_ev_per_atom": 0.000, "m_tot_mub_per_fu": 3.093, "crystal_system": "cubic", "spacegroup": "F-43m, No. 216"}

=====

{"formula": "HoSi2PdAu", "functional": "GGA-PBE", "state": "relaxed", "lattice": [[5.731, -1.315, 0.083], [1.984, -4.202, 3.604], [-4.289, 0.745, -3.954]], "species": ["Au", "Ho", "Pd", "Si", "Si"], "fractional_positions": [[0.750, 0.250, 0.500], [0.500, 0.500, 0.000], [0.250, 0.750, 0.500], [0.888, 0.888, 0.000], [0.112, 0.112, 0.000]], "m_tot_mub_per_fu": 0.001, "crystal_system": "tetragonal", "spacegroup": "I-4m2, No. 119"}

=====

{"formula": "DyB3W", "functional": "GGA-PBE", "state": "relaxed", "lattice": [[-1.448, 4.834, 2.055], [-2.318, -1.391, 1.639], [4.564, -2.215, 4.576]], "species": ["B", "B", "Dy", "W", "B", "B", "B", "Dy", "W", "B"], "fractional_positions": [[0.912, 0.750, 0.994], [0.084, 0.250, 0.525], [0.326, 0.750, 0.293], [0.812, 0.250, 0.220], [0.417, 0.250, 0.007], [0.583, 0.750, 0.993], [0.916, 0.750, 0.475], [0.674, 0.250, 0.707], [0.188, 0.750, 0.780], [0.088, 0.250, 0.006]], "m_tot_mub_per_fu": 0.001, "crystal_system": "monoclinic", "spacegroup": "P2_1/m, No. 11"}

=====

{"formula": "PmAlSb", "functional": "GGA-PBE", "state": "relaxed", "lattice": [[0.000, 3.490, 3.490], [3.490, 0.000, 3.490], [3.490, 3.490, 0.000]], "species": ["Pm", "Al", "Sb"], "fractional_positions": [[0.250, 0.250, 0.250], [0.000, 0.000, 0.000], [0.750, 0.750, 0.750]], "e_above_lowest_polymorph_ev_per_atom": 0.000, "m_tot_mub_per_fu": 0.002, "crystal_system": "cubic", "spacegroup": "F-43m, No. 216"}

=====

{"formula": "Tb2BeIr2", "functional": "GGA-PBE", "state": "relaxed", "lattice": [[5.038, -2.724, 0.000], [5.038, 2.724, 0.000], [-1.564, 0.000, 7.017]], "species": ["Ir", "Tb", "Ir", "Tb", "Tb", "Ir", "Be", "Be", "Ir", "Tb"], "fractional_positions": [[0.996, 0.260, 0.011], [0.512, 0.781, 0.147], [0.260, 0.996, 0.511], [0.488, 0.219, 0.853], [0.781, 0.512, 0.647], [0.004, 0.740, 0.989], [0.092, 0.908, 0.750], [0.908, 0.092, 0.250], [0.740, 0.004, 0.489], [0.219, 0.488, 0.353]], "m_tot_mub_per_fu": 0.008, "crystal_system": "monoclinic", "spacegroup": "C2/c, No. 15"}

=====

{"formula": "HfN2", "functional": "GGA-PBE", "state": "relaxed", "lattice": [[0.000, 3.127, 3.127], [3.127, 0.000, 3.127], [3.127, 3.127, 0.000]], "species": ["N", "N", "Hf", "Hf", "N", "N"], "fractional_positions": [[0.125, 0.625, 0.625], [0.625, 0.625, 0.125], [0.250, 0.250, 0.250], [0.000, 0.000, 0.000], [0.625, 0.125, 0.625], [0.625, 0.625, 0.625]], "m_tot_mub_per_fu": 0.003, "crystal_system": "cubic", "spacegroup": "Fd-3m, No. 227"}

=====

{"formula": "ZnBi6P2O14F2", "functional": "GGA-PBE", "state": "relaxed", "lattice": [[0.000, 5.514, 0.000], [-8.290, -2.757, 0.010], [2.744, -2.757, 15.362]], "species": ["O", "O", "Bi", "O", "Bi", "O", "F", "O", "O", "P", "O", "Bi", "O", "Bi", "O", "Zn", "Bi", "O", "Bi", "F", "O", "O", "Bi", "F", "O", "Bi", "O", "O", "O", "O", "F", "Bi", "Zn", "P", "P", "Bi", "O", "Bi", "O", "O", "O", "O", "O", "P", "O", "Bi", "O", "O", "O", "O"], "fractional_positions": [[0.972, 0.750, 0.750], [0.112, 0.760, 0.964], [0.730, 0.878, 0.669], [0.581, 0.788, 0.960], [0.005, 0.238, 0.831], [0.582, 0.267, 0.901], [0.272, 0.980, 0.533], [0.595, 0.500, 0.619], [0.915, 0.233, 0.599], [0.349, 0.715, 0.000], [0.134, 0.077, 0.738], [0.670, 0.044, 0.169], [0.666, 0.288, 0.460], [0.317, 0.378, 0.169], [0.112, 0.260, 0.464], [0.500, 0.500, 0.500], [0.270, 0.122, 0.331], [0.534, 0.250, 0.250], [0.330, 0.956, 0.831], [0.259, 0.520, 0.967], [0.418, 0.733, 0.099], [0.307, 0.417, 0.758], [0.995, 0.762, 0.169], [0.741, 0.480, 0.033], [0.028, 0.250, 0.250], [0.565, 0.738, 0.331], [0.419, 0.212, 0.040], [0.182, 0.577, 0.238], [0.693, 0.583, 0.242], [0.024, 0.000, 0.119], [0.728, 0.020, 0.467], [0.683, 0.622, 0.831], [0.000, 0.000, 0.000], [0.651, 0.285, 0.000], [0.134, 0.785, 0.500], [0.044, 0.544, 0.669], [0.334, 0.712, 0.540], [0.435, 0.262, 0.669], [0.818, 0.423, 0.762], [0.976, 0.000, 0.881], [0.866, 0.923, 0.262], [0.632, 0.083, 0.742], [0.466, 0.750, 0.750], [0.866, 0.215, 0.500], [0.405, 0.500, 0.381], [0.956, 0.456, 0.331], [0.085, 0.767, 0.401], [0.888, 0.740, 0.536], [0.888, 0.240, 0.036], [0.368, 0.917, 0.258]], "crystal_system": "monoclinic", "spacegroup": "C2/c, No. 15"}

=====

{"formula": "TlMo4AsN2", "functional": "GGA-PBE", "state": "relaxed", "lattice": [[3.324, 0.000, 0.000], [-1.662, 2.879, 0.000], [0.000, 0.000, 12.323]], "species": ["N", "Mo", "Tl", "N", "Mo", "Mo", "As", "Mo"], "fractional_positions": [[0.333, 0.667, 0.745], [0.667, 0.333, 0.860], [0.667, 0.333, 0.500], [0.333, 0.667, 0.255], [0.000, 0.000, 0.302], [0.667, 0.333, 0.140], [0.000, 0.000, 0.000], [0.000, 0.000, 0.698]], "m_tot_mub_per_fu": 0.000, "crystal_system": "hexagonal", "spacegroup": "P-6m2, No. 187"}

=====

{"formula": "NbPd3", "functional": "GGA-PBE", "state": "relaxed", "lattice": [[-0.793, 4.742, 2.756], [-11.929, 1.800, -6.530], [-2.307, -2.444, 3.541]], "species": ["Nb", "Pd", "Pd", "Pd", "Pd", "Pd", "Pd", "Pd", "Nb", "Nb", "Pd", "Pd", "Pd", "Nb", "Nb", "Nb", "Pd", "Pd", "Pd", "Pd", "Pd", "Pd", "Pd", "Pd"], "fractional_positions": [[0.000, 0.000, 0.991], [0.752, 0.000, 0.491], [0.249, 0.168, 0.165], [0.000, 0.500, 0.019], [0.000, 0.165, 0.663], [0.749, 0.668, 0.835], [0.751, 0.832, 0.165], [0.500, 0.665, 0.337], [0.500, 0.836, 0.667], [0.500, 0.164, 0.667], [0.500, 0.000, 0.981], [0.749, 0.332, 0.835], [0.748, 0.500, 0.509], [0.000, 0.336, 0.333], [0.000, 0.664, 0.333], [0.500, 0.500, 0.009], [0.000, 0.835, 0.663], [0.249, 0.832, 0.165], [0.251, 0.332, 0.835], [0.252, 0.500, 0.509], [0.500, 0.335, 0.337], [0.248, 0.000, 0.491], [0.751, 0.168, 0.165], [0.251, 0.668, 0.835]], "m_tot_mub_per_fu": 0.004, "crystal_system": "orthorhombic", "delta_e_f_mev_per_atom": -428, "spacegroup": "Pmmn, No. 59"}

=====

{"formula": "NaMgNbSe3", "functional": "GGA-PBE", "state": "relaxed", "lattice": [[-0.112, -2.457, 7.093], [3.503, -1.252, -0.378], [3.551, 10.024, -0.296]], "species": ["Mg", "Nb", "Se", "Se", "Na", "Na", "Nb", "Se", "Se", "Se", "Mg", "Se"], "fractional_positions": [[0.987, 0.750, 0.878], [0.968, 0.250, 0.600], [0.739, 0.750, 0.646], [0.223, 0.250, 0.963], [0.461, 0.750, 0.186], [0.539, 0.250, 0.814], [0.032, 0.750, 0.400], [0.771, 0.250, 0.350], [0.261, 0.250, 0.354], [0.777, 0.750, 0.037], [0.013, 0.250, 0.122], [0.229, 0.750, 0.650]], "e_above_lowest_polymorph_ev_per_atom": 0.000, "m_tot_mub_per_fu": 0.005, "crystal_system": "monoclinic", "spacegroup": "P2_1/m, No. 11"}

=====

{"formula": "Nb2Pd3S8", "functional": "GGA-PBE", "state": "relaxed", "lattice": [[-8.925, 3.394, 4.417], [-7.693, -9.356, -8.355], [0.292, -2.443, 2.467]], "species": ["Pd", "Nb", "S", "S", "S", "Pd", "S", "S", "S", "S", "Pd", "S", "S", "S", "S", "Nb", "S", "Pd", "Nb", "S", "S", "Pd", "Nb", "S", "S", "Pd"], "fractional_positions": [[0.373, 0.279, 0.500], [0.294, 0.882, 0.000], [0.459, 0.843, 0.500], [0.276, 0.004, 0.500], [0.041, 0.343, 0.500], [0.500, 0.000, 0.500], [0.224, 0.504, 0.500], [0.561, 0.622, 0.000], [0.439, 0.378, 0.000], [0.959, 0.657, 0.500], [0.127, 0.779, 0.500], [0.724, 0.996, 0.500], [0.776, 0.496, 0.500], [0.746, 0.282, 0.000], [0.246, 0.218, 0.000], [0.706, 0.118, 0.000], [0.541, 0.157, 0.500], [0.873, 0.221, 0.500], [0.794, 0.618, 0.000], [0.754, 0.782, 0.000], [0.254, 0.718, 0.000], [0.627, 0.721, 0.500], [0.206, 0.382, 0.000], [0.061, 0.878, 0.000], [0.939, 0.122, 0.000], [0.000, 0.500, 0.500]], "m_tot_mub_per_fu": 0.006, "crystal_system": "orthorhombic", "spacegroup": "Pbam, No. 55"}

=====

{"formula": "Cs2Lu4Cu4Se9", "functional": "GGA-PBE", "state": "relaxed", "lattice": [[-0.916, -1.488, 7.358], [0.202, -5.032, 5.642], [15.299, 5.888, -2.184]], "species": ["Se", "Cu", "Se", "Cu", "Se", "Cs", "Se", "Cs", "Se", "Lu", "Lu", "Se", "Cu", "Se", "Cu", "Se", "Se", "Lu", "Lu"], "fractional_positions": [[0.500, 0.500, 0.000], [0.250, 0.250, 0.769], [0.842, 0.842, 0.776], [0.930, 0.930, 0.536], [0.891, 0.891, 0.376], [0.531, 0.531, 0.772], [0.158, 0.158, 0.224], [0.469, 0.469, 0.228], [0.109, 0.109, 0.624], [0.154, 0.154, 0.055], [0.269, 0.269, 0.397], [0.644, 0.644, 0.426], [0.070, 0.070, 0.464], [0.209, 0.209, 0.904], [0.750, 0.750, 0.231], [0.791, 0.791, 0.096], [0.356, 0.356, 0.574], [0.846, 0.846, 0.945], [0.731, 0.731, 0.603]], "m_tot_mub_per_fu": 0.002, "crystal_system": "monoclinic", "spacegroup": "C2/m, No. 12"}

=====

{"formula": "RbDyAuSe3", "functional": "GGA-PBE", "state": "relaxed", "lattice": [[15.488, 0.000, 0.000], [0.000, 4.119, 0.000], [0.000, 0.000, 10.980]], "species": ["Rb", "Se", "Se", "Se", "Dy", "Rb", "Au", "Au", "Au", "Dy", "Se", "Dy", "Au", "Dy", "Se", "Se", "Se", "Se", "Rb", "Se", "Se", "Se", "Se", "Rb"], "fractional_positions": [[0.735, 0.250, 0.540], [0.089, 0.750, 0.123], [0.093, 0.250, 0.420], [0.589, 0.750, 0.377], [0.524, 0.250, 0.842], [0.265, 0.750, 0.460], [0.484, 0.250, 0.395], [0.016, 0.750, 0.895], [0.984, 0.250, 0.105], [0.476, 0.750, 0.158], [0.907, 0.750, 0.580], [0.024, 0.250, 0.658], [0.516, 0.750, 0.605], [0.976, 0.750, 0.342], [0.593, 0.250, 0.080], [0.911, 0.250, 0.877], [0.359, 0.250, 0.239], [0.141, 0.750, 0.739], [0.235, 0.250, 0.960], [0.641, 0.750, 0.761], [0.411, 0.250, 0.623], [0.859, 0.250, 0.261], [0.407, 0.750, 0.920], [0.765, 0.750, 0.040]], "m_tot_mub_per_fu": 0.002, "crystal_system": "orthorhombic", "spacegroup": "Pnma, No. 62"}

=====

{"formula": "MgNpSi", "functional": "GGA-PBE", "state": "relaxed", "lattice": [[0.000, 3.367, 3.367], [3.367, 0.000, 3.367], [3.367, 3.367, 0.000]], "species": ["Si", "Mg", "Np"], "fractional_positions": [[0.750, 0.750, 0.750], [0.250, 0.250, 0.250], [0.000, 0.000, 0.000]], "m_tot_mub_per_fu": 4.043, "crystal_system": "cubic", "spacegroup": "F-43m, No. 216"}

=====

{"formula": "Cu4AsI2N", "functional": "GGA-PBE", "state": "relaxed", "lattice": [[4.855, -2.752, 3.533], [-2.890, -4.164, 4.235], [-0.694, 0.551, -6.545]], "species": ["Cu", "N", "Cu", "Cu", "I", "I", "Cu", "As"], "fractional_positions": [[0.432, 0.980, 0.126], [0.750, 0.250, 0.500], [0.695, 0.568, 0.549], [0.020, 0.146, 0.451], [0.250, 0.750, 0.500], [0.500, 0.500, 0.000], [0.854, 0.305, 0.874], [0.000, 0.000, 0.000]], "crystal_system": "tetragonal", "spacegroup": "I-4, No. 82"}

=====

{"formula": "LiSmIn", "functional": "GGA-PBE", "state": "relaxed", "lattice": [[0.000, 3.576, 3.576], [3.576, 0.000, 3.576], [3.576, 3.576, 0.000]], "species": ["In", "Li", "Sm"], "fractional_positions": [[0.250, 0.250, 0.250], [0.750, 0.750, 0.750], [0.000, 0.000, 0.000]], "m_tot_mub_per_fu": 0.003, "crystal_system": "cubic", "spacegroup": "F-43m, No. 216"}

=====

{"formula": "LaLuAg2Sn2", "functional": "GGA-PBE", "state": "relaxed", "lattice": [[4.754, 0.000, 0.000], [-2.377, 4.117, 0.000], [0.000, 0.000, 7.545]], "species": ["Ag", "Ag", "Lu", "La", "Sn", "Sn"], "fractional_positions": [[0.333, 0.667, 0.985], [0.667, 0.333, 0.434], [0.000, 0.000, 0.258], [0.000, 0.000, 0.755], [0.667, 0.333, 0.044], [0.333, 0.667, 0.525]], "m_tot_mub_per_fu": 0.003, "crystal_system": "trigonal", "spacegroup": "P3m1, No. 156"}

=====

{"formula": "BaAgIrSe3", "functional": "GGA-PBE", "state": "relaxed", "lattice": [[2.074, -6.819, 0.000], [2.074, 6.819, 0.000], [0.000, 0.000, 10.081]], "species": ["Ag", "Se", "Ir", "Ba", "Se", "Se", "Se", "Ba", "Se", "Se", "Ag", "Ir"], "fractional_positions": [[0.465, 0.535, 0.750], [0.381, 0.619, 0.520], [0.000, 0.000, 0.000], [0.768, 0.232, 0.750], [0.619, 0.381, 0.020], [0.381, 0.619, 0.980], [0.078, 0.922, 0.750], [0.232, 0.768, 0.250], [0.922, 0.078, 0.250], [0.619, 0.381, 0.480], [0.535, 0.465, 0.250], [0.000, 0.000, 0.500]], "m_tot_mub_per_fu": 0.005, "crystal_system": "orthorhombic", "spacegroup": "Cmcm, No. 63"}

=====

{"formula": "LaMg4AlPt2", "functional": "GGA-PBE", "state": "relaxed", "lattice": [[-7.264, -2.214, -2.861], [-2.139, 0.804, 4.809], [-2.193, 4.307, 2.235]], "species": ["Al", "Mg", "Pt", "Mg", "Mg", "Pt", "La", "Mg"], "fractional_positions": [[0.000, 0.948, 0.948], [0.287, 0.352, 0.352], [0.000, 0.213, 0.213], [0.182, 0.656, 0.656], [0.818, 0.656, 0.656], [0.500, 0.766, 0.766], [0.500, 0.057, 0.057], [0.713, 0.352, 0.352]], "m_tot_mub_per_fu": 0.028, "crystal_system": "orthorhombic", "spacegroup": "Amm2, No. 38"}

=====

{"formula": "PmCdB", "functional": "GGA-PBE", "state": "relaxed", "lattice": [[0.000, 3.327, 3.327], [3.327, 0.000, 3.327], [3.327, 3.327, 0.000]], "species": ["B", "Pm", "Cd"], "fractional_positions": [[0.250, 0.250, 0.250], [0.000, 0.000, 0.000], [0.750, 0.750, 0.750]], "e_above_lowest_polymorph_ev_per_atom": 0.899, "m_tot_mub_per_fu": 0.001, "crystal_system": "cubic", "spacegroup": "F-43m, No. 216"}

=====

Number 1: uncorrected energy -4.02 eV/atom. Number 2: uncorrected energy -5.53 eV/atom. Number 3: uncorrected energy -8.10 eV/atom. Number 4: uncorrected energy -4.38 eV/atom. Number 5: uncorrected energy -6.88 eV/atom. Number 6: uncorrected energy -7.26 eV/atom. Number 7: uncorrected energy -6.03 eV/atom. Number 8: uncorrected energy -8.39 eV/atom. Number 9: uncorrected energy -6.83 eV/atom. Number 10: uncorrected energy -4.86 eV/atom. Number 11: uncorrected energy -5.98 eV/atom. Number 12: uncorrected energy -4.72 eV/atom. Number 13: uncorrected energy -4.31 eV/atom. Number 14: uncorrected energy -5.89 eV/atom. Number 15: uncorrected energy -3.58 eV/atom. Number 16: uncorrected energy -2.87 eV/atom. Number 17: uncorrected energy -4.44 eV/atom. Number 18: uncorrected energy -4.58 eV/atom. Number 19: uncorrected energy -3.94 eV/atom. Number 20: uncorrected energy -3.22 eV/atom.